The following is a PBE calculation of a geometry-optimized Ho3BiO6 structure, from Alexandria via LeMat-Bulk.

The structure in CIF format:
```
data_Ho3BiO6
_cell_length_a 9.7046
_cell_length_b 9.7046
_cell_length_c 11.5041
_cell_angle_alpha 90.00
_cell_angle_beta 90.00
_cell_angle_gamma 120.00
_space_group_name_H-M_alt 'R -3'
_space_group_IT_number 148
_space_group_name_Hall '-R 3'
loop_
_atom_site_label
_atom_site_fract_x
_atom_site_fract_y
_atom_site_fract_z
Ho1 0.0382 0.2641 0.2104
Bi1 0.0000 0.0000 0.0000
Bi2 0.0000 0.0000 0.5000
O1 0.0226 0.2263 0.4014
O2 0.0283 0.1893 0.8609
```

* calculated volume: 15.6 A^3/atom
* energy relative to the elements, uncorrected: -2851 kJ/mol of formula units
* DFT total energy: -7.691 eV/atom